--- w ---
Compound: IrRuRh3
Source: Alexandria via LeMat-Bulk
Functional: GGA-PBE
Structure: relaxed

* DOS at the Fermi energy: 17.31 states/eV/cell

Unit cell a=6.179 b=6.179 c=6.179 alpha=109.36 beta=131.82 gamma=90.10
Fractional coordinates of all 10 atoms:
1 Ir 0.500 0.500 0.000
2 Ir 0.500 0.000 0.500
3 Ru 0.981 0.731 0.750
4 Ru 0.019 0.269 0.250
5 Rh 0.500 0.326 0.326
6 Rh 0.000 0.674 0.174
7 Rh 0.500 0.674 0.674
8 Rh 0.000 0.326 0.826
9 Rh 0.713 0.963 0.250
10 Rh 0.287 0.037 0.750

--- x ---
Compound: IrRuRh3
Source: Alexandria via LeMat-Bulk
Functional: GGA-PBE
Structure: relaxed

* DOS at the Fermi energy: 8.12 states/eV/cell

Unit cell a=4.677 b=4.677 c=4.677 alpha=90.00 beta=90.00 gamma=90.00
Site moments in Bohr magnetons follow the coordinates.
Fractional coordinates of all 5 atoms:
1 Ru 0.500 0.500 0.500  2.42
2 Ir 0.000 0.000 0.000  -0.02
3 Rh 0.000 0.500 0.000  0.13
4 Rh 0.000 0.000 0.500  0.09
5 Rh 0.500 0.000 0.000  0.34

--- y ---
Compound: IrRuRh3
Source: Alexandria via LeMat-Bulk
Functional: GGA-PBE
Structure: relaxed

* DOS at the Fermi energy: 15.36 states/eV/cell

Unit cell a=2.670 b=6.555 c=8.846 alpha=90.00 beta=90.00 gamma=90.00
Fractional coordinates of all 10 atoms:
1 Ir 0.500 0.737 0.750
2 Ir 0.500 0.263 0.250
3 Ru 0.000 0.084 0.750
4 Ru 0.000 0.916 0.250
5 Rh 0.500 0.382 0.607
6 Rh 0.500 0.000 0.000
7 Rh 0.500 0.382 0.893
8 Rh 0.500 0.618 0.393
9 Rh 0.500 0.000 0.500
10 Rh 0.500 0.618 0.107

The calculated energies rank the structures as follows, beginning with the most stable: y, w, x.

--- w ---
Compound: IrRuRh6
Source: Alexandria via LeMat-Bulk
Functional: GGA-PBE
Structure: relaxed

* DOS at the Fermi energy: 8.48 states/eV/cell

Unit cell a=3.840 b=3.840 c=7.684 alpha=90.00 beta=90.00 gamma=90.00
Fractional coordinates of all 8 atoms:
1 Ir 0.000 0.000 0.000
2 Ru 0.000 0.000 0.500
3 Rh 0.500 0.500 0.000
4 Rh 0.500 0.500 0.500
5 Rh 0.500 0.000 0.252
6 Rh 0.500 0.000 0.748
7 Rh 0.000 0.500 0.252
8 Rh 0.000 0.500 0.748

--- x ---
Compound: IrRuRh6
Source: Alexandria via LeMat-Bulk
Functional: GGA-PBE
Structure: relaxed

* DOS at the Fermi energy: 16.54 states/eV/cell

Unit cell a=5.146 b=5.146 c=5.146 alpha=89.61 beta=89.61 gamma=89.61
Fractional coordinates of all 8 atoms:
1 Ir 0.500 0.500 0.500
2 Ru 0.000 0.000 0.000
3 Rh 0.166 0.561 0.166
4 Rh 0.166 0.166 0.561
5 Rh 0.834 0.439 0.834
6 Rh 0.439 0.834 0.834
7 Rh 0.834 0.834 0.439
8 Rh 0.561 0.166 0.166

The calculated energies rank the structures as follows, beginning with the most stable: w, x.

--- w ---
Compound: IrRu4Rh2
Source: Alexandria via LeMat-Bulk
Functional: GGA-PBE
Structure: relaxed

* DOS at the Fermi energy: 14.93 states/eV/cell

Unit cell a=6.634 b=6.634 c=6.634 alpha=103.13 beta=112.73 gamma=112.73
Fractional coordinates of all 14 atoms:
1 Ir 0.000 0.250 0.250
2 Ir 0.000 0.750 0.750
3 Ru 0.799 0.823 0.323
4 Ru 0.201 0.524 0.024
5 Ru 0.500 0.323 0.524
6 Ru 0.500 0.024 0.823
7 Ru 0.500 0.976 0.177
8 Ru 0.500 0.677 0.476
9 Ru 0.799 0.476 0.976
10 Ru 0.201 0.177 0.677
11 Rh 0.791 0.146 0.646
12 Rh 0.209 0.854 0.354
13 Rh 0.500 0.646 0.854
14 Rh 0.500 0.354 0.146

--- x ---
Compound: IrRu4Rh2
Source: Alexandria via LeMat-Bulk
Functional: GGA-PBE
Structure: relaxed

* DOS at the Fermi energy: 19.19 states/eV/cell

Unit cell a=4.395 b=6.388 c=8.002 alpha=90.00 beta=90.00 gamma=110.12
Fractional coordinates of all 14 atoms:
1 Ir 0.697 0.395 0.750
2 Ir 0.303 0.605 0.250
3 Ru 0.718 0.435 0.090
4 Ru 0.718 0.435 0.410
5 Ru 0.282 0.565 0.910
6 Ru 0.282 0.565 0.590
7 Ru 0.082 0.164 0.750
8 Ru 0.918 0.836 0.250
9 Ru 0.500 0.000 0.000
10 Ru 0.500 0.000 0.500
11 Rh 0.099 0.199 0.411
12 Rh 0.901 0.801 0.911
13 Rh 0.099 0.199 0.089
14 Rh 0.901 0.801 0.589

The calculated energies rank the structures as follows, beginning with the most stable: x, w.

--- w ---
Compound: Ir2Ru2Rh3
Source: Alexandria via LeMat-Bulk
Functional: GGA-PBE
Structure: relaxed

* DOS at the Fermi energy: 7.31 states/eV/cell

Unit cell a=3.841 b=4.705 c=6.083 alpha=97.53 beta=90.00 gamma=114.09
Fractional coordinates of all 7 atoms:
1 Ir 0.573 0.146 0.708
2 Ir 0.427 0.854 0.292
3 Ru 0.142 0.285 0.430
4 Ru 0.858 0.715 0.570
5 Rh 0.287 0.575 0.853
6 Rh 0.000 0.000 0.000
7 Rh 0.713 0.425 0.147

--- x ---
Compound: Ir2Ru2Rh3
Source: Alexandria via LeMat-Bulk
Functional: GGA-PBE
Structure: relaxed

* DOS at the Fermi energy: 9.06 states/eV/cell

Unit cell a=2.712 b=3.930 c=9.703 alpha=78.31 beta=90.00 gamma=90.00
Fractional coordinates of all 7 atoms:
1 Ir 0.500 0.293 0.414
2 Ir 0.500 0.707 0.586
3 Ru 0.000 0.144 0.712
4 Ru 0.000 0.856 0.288
5 Rh 0.500 0.430 0.140
6 Rh 0.500 0.570 0.860
7 Rh 0.000 0.000 0.000

The calculated energies rank the structures as follows, beginning with the most stable: w, x.